# 1
Li8Sb2N: optimized geometry, PBE.

a = 15.0814 Å, b = 4.3817 Å, c = 5.6737 Å
α = 90.00°, β = 109.15°, γ = 90.00°
Space group C2/m (No. 12)
Asymmetric unit:
Li 0.0057 0.0000 0.2107 [4 per cell]
Li 0.0913 0.5000 0.8246 [4 per cell]
Li 0.1131 0.5000 0.3065 [4 per cell]
Li 0.2176 0.0000 0.1742 [4 per cell]
Sb 0.1660 0.0000 0.6380 [4 per cell]
N 0.0000 0.5000 0.0000 [2 per cell]

* raw formation energy: -449 meV per atom
* DOS(E_F): 6.72 states/eV/cell
* E: -3.35 eV/atom
* calculated volume: 354.2 Å³/cell



# 2
Li3SbN: optimized geometry, PBE.

a = 4.0961 Å, b = 4.0961 Å, c = 4.0961 Å
α = 90.00°, β = 90.00°, γ = 90.00°
Space group Pm-3m (No. 221)
Asymmetric unit:
Li 0.0000 0.0000 0.5000 [3 per cell]
Sb 0.5000 0.5000 0.5000 [1 per cell]
N 0.0000 0.0000 0.0000 [1 per cell]

* raw formation energy: -125 meV per atom
* DOS(E_F): 2.48 states/eV/cell
* energy above the lowest structure with this stoichiometry: 0.0 meV per atom
* E: -3.76 eV/atom
* calculated volume: 68.7 Å³/cell



# 3
LiSbN3: optimized geometry, PBE.

a = 4.0733 Å, b = 4.0733 Å, c = 4.0733 Å
α = 90.00°, β = 90.00°, γ = 90.00°
Space group Pm-3m (No. 221)
Asymmetric unit:
Li 0.0000 0.0000 0.0000 [1 per cell]
Sb 0.5000 0.5000 0.5000 [1 per cell]
N 0.0000 0.5000 0.5000 [3 per cell]

* raw formation energy: 1276 meV per atom
* DOS(E_F): 1.83 states/eV/cell
* E: -4.93 eV/atom
* calculated volume: 67.6 Å³/cell



# 4
LiSb3N: optimized geometry, PBE.

a = 4.7783 Å, b = 4.7783 Å, c = 4.7783 Å
α = 90.00°, β = 90.00°, γ = 90.00°
Space group Pm-3m (No. 221)
Asymmetric unit:
Li 0.0000 0.0000 0.0000 [1 per cell]
Sb 0.0000 0.5000 0.5000 [3 per cell]
N 0.5000 0.5000 0.5000 [1 per cell]

* raw formation energy: 395 meV per atom
* DOS(E_F): 2.76 states/eV/cell
* energy above the lowest structure with this stoichiometry: 0.0 meV per atom
* E: -4.13 eV/atom
* calculated volume: 109.1 Å³/cell



# 5
LiSbN2: optimized geometry, PBE.

a = 3.7033 Å, b = 3.7033 Å, c = 17.1685 Å
α = 90.00°, β = 90.00°, γ = 120.00°
Space group R-3m (No. 166, hexagonal axes)
Asymmetric unit:
Li 0.0000 0.0000 0.0000 [3 per cell]
Sb 0.0000 0.0000 0.5000 [3 per cell]
N 0.0000 0.0000 0.3897 [6 per cell]

* raw formation energy: 1016 meV per atom
* DOS(E_F): 0.83 states/eV/cell
* E: -4.66 eV/atom
* calculated volume: 203.9 Å³/cell



# 6
LiSbN3: optimized geometry, PBE.

a = 3.7010 Å, b = 3.7010 Å, c = 3.7010 Å
α = 90.00°, β = 90.00°, γ = 90.00°
Space group Pm-3m (No. 221)
Asymmetric unit:
Li 0.0000 0.0000 0.0000 [1 per cell]
Sb 0.5000 0.5000 0.5000 [1 per cell]
N 0.0000 0.0000 0.5000 [3 per cell]

* raw formation energy: 1846 meV per atom
* DOS(E_F): 4.00 states/eV/cell
* E: -4.36 eV/atom
* calculated volume: 50.7 Å³/cell



# 7
LiSbN2: optimized geometry, PBE.

a = 3.2180 Å, b = 3.2180 Å, c = 17.9985 Å
α = 90.00°, β = 90.00°, γ = 120.00°
Space group R-3m (No. 166, hexagonal axes)
Asymmetric unit:
Li 0.0000 0.0000 0.0000 [3 per cell]
Sb 0.0000 0.0000 0.5000 [3 per cell]
N 0.0000 0.0000 0.1052 [6 per cell]

* raw formation energy: 122 meV per atom
* DOS(E_F): 0.00 states/eV/cell
* E: -5.55 eV/atom
* calculated volume: 161.4 Å³/cell



# 8
Li2SbN: optimized geometry, PBE.

a = 7.2156 Å, b = 7.2156 Å, c = 4.5964 Å
α = 90.00°, β = 90.00°, γ = 90.00°
Space group I-42d (No. 122)
Asymmetric unit:
Li 0.1286 0.2500 0.1250 [8 per cell]
Sb 0.0000 0.0000 0.5000 [4 per cell]
N 0.0000 0.0000 0.0000 [4 per cell]

* raw formation energy: 44 meV per atom
* DOS(E_F): 5.59 states/eV/cell
* energy above the lowest structure with this stoichiometry: 0.0 meV per atom
* E: -4.02 eV/atom
* calculated volume: 239.3 Å³/cell



# 9
Li3SbN: optimized geometry, PBE.

a = 5.2478 Å, b = 5.2478 Å, c = 5.2478 Å
α = 90.00°, β = 90.00°, γ = 90.00°
Space group Pm-3m (No. 221)
Asymmetric unit:
Li 0.0000 0.0000 0.5000 [3 per cell]
Sb 0.0000 0.0000 0.0000 [1 per cell]
N 0.5000 0.5000 0.5000 [1 per cell]

* raw formation energy: 668 meV per atom
* DOS(E_F): 0.00 states/eV/cell
* energy above the lowest structure with this stoichiometry: 793.4 meV per atom
* E: -2.97 eV/atom
* calculated volume: 144.5 Å³/cell



# 10
LiSc2SbN: optimized geometry, PBE.

a = 4.4023 Å, b = 4.4023 Å, c = 4.2883 Å
α = 90.00°, β = 90.00°, γ = 90.00°
Space group P4/mmm (No. 123)
Asymmetric unit:
Li 0.0000 0.0000 0.0000 [1 per cell]
Sc 0.0000 0.5000 0.5000 [2 per cell]
Sb 0.5000 0.5000 0.0000 [1 per cell]
N 0.0000 0.0000 0.5000 [1 per cell]

* raw formation energy: -1142 meV per atom
* DOS(E_F): 1.52 states/eV/cell
* E: -6.55 eV/atom
* calculated volume: 83.1 Å³/cell



# 11
LiSbSe2N: optimized geometry, PBE.

a = 4.9698 Å, b = 4.9698 Å, c = 3.8157 Å
α = 90.00°, β = 90.00°, γ = 90.00°
Space group P4/mmm (No. 123)
Asymmetric unit:
Li 0.0000 0.0000 0.0000 [1 per cell]
Sb 0.5000 0.5000 0.5000 [1 per cell]
Se 0.0000 0.5000 0.0000 [2 per cell]
N 0.0000 0.0000 0.5000 [1 per cell]

* raw formation energy: 712 meV per atom
* DOS(E_F): 4.77 states/eV/cell
* energy above the lowest structure with this stoichiometry: 259.8 meV per atom
* E: -3.55 eV/atom
* calculated volume: 94.2 Å³/cell



# 12
LiSbSe2N: optimized geometry, PBE.

a = 5.3943 Å, b = 5.3943 Å, c = 4.0781 Å
α = 90.00°, β = 90.00°, γ = 90.00°
Space group P4/mmm (No. 123)
Asymmetric unit:
Li 0.0000 0.0000 0.0000 [1 per cell]
Sb 0.5000 0.5000 0.5000 [1 per cell]
Se 0.0000 0.5000 0.5000 [2 per cell]
N 0.5000 0.5000 0.0000 [1 per cell]

* raw formation energy: 453 meV per atom
* DOS(E_F): 3.41 states/eV/cell
* energy above the lowest structure with this stoichiometry: 0.0 meV per atom
* E: -3.81 eV/atom
* calculated volume: 118.7 Å³/cell



# 13
LiSbSeN2: optimized geometry, PBE.

a = 4.0941 Å, b = 4.0941 Å, c = 5.5262 Å
α = 90.00°, β = 90.00°, γ = 90.00°
Space group P4/mmm (No. 123)
Asymmetric unit:
Li 0.0000 0.0000 0.0000 [1 per cell]
Sb 0.5000 0.5000 0.5000 [1 per cell]
Se 0.5000 0.5000 0.0000 [1 per cell]
N 0.0000 0.5000 0.5000 [2 per cell]

* raw formation energy: 847 meV per atom
* DOS(E_F): 2.82 states/eV/cell
* energy above the lowest structure with this stoichiometry: 0.0 meV per atom
* E: -4.39 eV/atom
* calculated volume: 92.6 Å³/cell



# 14
LiSbSeN2: optimized geometry, PBE.

a = 4.1059 Å, b = 4.1059 Å, c = 4.7986 Å
α = 90.00°, β = 90.00°, γ = 90.00°
Space group P4/mmm (No. 123)
Asymmetric unit:
Li 0.0000 0.0000 0.0000 [1 per cell]
Sb 0.5000 0.5000 0.5000 [1 per cell]
Se 0.0000 0.0000 0.5000 [1 per cell]
N 0.0000 0.5000 0.0000 [2 per cell]

* raw formation energy: 1416 meV per atom
* DOS(E_F): 0.91 states/eV/cell
* energy above the lowest structure with this stoichiometry: 568.9 meV per atom
* E: -3.82 eV/atom
* calculated volume: 80.9 Å³/cell



# 15
Li2Sm2Sb2N: optimized geometry, PBE.

a = 4.4976 Å, b = 4.4976 Å, c = 15.5364 Å
α = 90.00°, β = 90.00°, γ = 90.00°
Space group I4/mmm (No. 139)
Asymmetric unit:
Li 0.0000 0.5000 0.0000 [4 per cell]
Sm 0.0000 0.0000 0.1450 [4 per cell]
Sb 0.0000 0.0000 0.3612 [4 per cell]
N 0.0000 0.0000 0.0000 [2 per cell]

* raw formation energy: -884 meV per atom
* DOS(E_F): 11.28 states/eV/cell
* E: -5.15 eV/atom
* calculated volume: 314.3 Å³/cell



# 16
LiSbTeN2: optimized geometry, PBE.

a = 4.1001 Å, b = 4.1001 Å, c = 6.0812 Å
α = 90.00°, β = 90.00°, γ = 90.00°
Space group P4/mmm (No. 123)
Asymmetric unit:
Li 0.0000 0.0000 0.0000 [1 per cell]
Sb 0.5000 0.5000 0.5000 [1 per cell]
Te 0.5000 0.5000 0.0000 [1 per cell]
N 0.0000 0.5000 0.5000 [2 per cell]

* raw formation energy: 940 meV per atom
* DOS(E_F): 3.63 states/eV/cell
* energy above the lowest structure with this stoichiometry: 0.0 meV per atom
* E: -4.23 eV/atom
* calculated volume: 102.2 Å³/cell



# 17
LiSbTe2N: optimized geometry, PBE.

a = 5.3717 Å, b = 5.3717 Å, c = 3.7634 Å
α = 90.00°, β = 90.00°, γ = 90.00°
Space group P4/mmm (No. 123)
Asymmetric unit:
Li 0.0000 0.0000 0.0000 [1 per cell]
Sb 0.5000 0.5000 0.5000 [1 per cell]
Te 0.0000 0.5000 0.0000 [2 per cell]
N 0.0000 0.0000 0.5000 [1 per cell]

* raw formation energy: 733 meV per atom
* DOS(E_F): 3.47 states/eV/cell
* energy above the lowest structure with this stoichiometry: 316.7 meV per atom
* E: -3.40 eV/atom
* calculated volume: 108.6 Å³/cell



# 18
LiSbTe2N: optimized geometry, PBE.

a = 5.1054 Å, b = 5.1054 Å, c = 4.9804 Å
α = 90.00°, β = 90.00°, γ = 90.00°
Space group P4/mmm (No. 123)
Asymmetric unit:
Li 0.0000 0.0000 0.0000 [1 per cell]
Sb 0.0000 0.0000 0.5000 [1 per cell]
Te 0.0000 0.5000 0.0000 [2 per cell]
N 0.5000 0.5000 0.5000 [1 per cell]

* raw formation energy: 1205 meV per atom
* DOS(E_F): 3.50 states/eV/cell
* energy above the lowest structure with this stoichiometry: 788.9 meV per atom
* E: -2.92 eV/atom
* calculated volume: 129.8 Å³/cell



# 19
LiSbTeN2: optimized geometry, PBE.

a = 4.1232 Å, b = 4.1232 Å, c = 4.9100 Å
α = 90.00°, β = 90.00°, γ = 90.00°
Space group P4/mmm (No. 123)
Asymmetric unit:
Li 0.0000 0.0000 0.0000 [1 per cell]
Sb 0.5000 0.5000 0.5000 [1 per cell]
Te 0.0000 0.0000 0.5000 [1 per cell]
N 0.0000 0.5000 0.0000 [2 per cell]

* raw formation energy: 1637 meV per atom
* DOS(E_F): 4.12 states/eV/cell
* energy above the lowest structure with this stoichiometry: 697.4 meV per atom
* E: -3.53 eV/atom
* calculated volume: 83.5 Å³/cell



# 20
LiSbTe2N: optimized geometry, PBE.

a = 4.9679 Å, b = 4.9679 Å, c = 4.5937 Å
α = 90.00°, β = 90.00°, γ = 90.00°
Space group P4/mmm (No. 123)
Asymmetric unit:
Li 0.0000 0.0000 0.0000 [1 per cell]
Sb 0.5000 0.5000 0.0000 [1 per cell]
Te 0.0000 0.5000 0.5000 [2 per cell]
N 0.5000 0.5000 0.5000 [1 per cell]

* raw formation energy: 416 meV per atom
* DOS(E_F): 3.34 states/eV/cell
* energy above the lowest structure with this stoichiometry: 0.0 meV per atom
* E: -3.71 eV/atom
* calculated volume: 113.4 Å³/cell



# 21
LiSbTe2N: optimized geometry, PBE.

a = 5.9892 Å, b = 5.9892 Å, c = 3.8914 Å
α = 90.00°, β = 90.00°, γ = 90.00°
Space group P4/mmm (No. 123)
Asymmetric unit:
Li 0.0000 0.0000 0.0000 [1 per cell]
Sb 0.5000 0.5000 0.5000 [1 per cell]
Te 0.0000 0.5000 0.5000 [2 per cell]
N 0.5000 0.5000 0.0000 [1 per cell]

* raw formation energy: 508 meV per atom
* DOS(E_F): 3.20 states/eV/cell
* energy above the lowest structure with this stoichiometry: 91.7 meV per atom
* E: -3.62 eV/atom
* calculated volume: 139.6 Å³/cell



# 22
LiThSbN: optimized geometry, PBE.

a = 3.3711 Å, b = 3.3711 Å, c = 13.9146 Å
α = 90.00°, β = 90.00°, γ = 90.00°
Space group I4mm (No. 107)
Asymmetric unit:
Li 0.0000 0.0000 0.0000 [2 per cell]
Th 0.0000 0.0000 0.3125 [2 per cell]
Sb 0.0000 0.0000 0.6159 [2 per cell]
N 0.0000 0.0000 0.8588 [2 per cell]

* raw formation energy: -890 meV per atom
* DOS(E_F): 3.27 states/eV/cell
* E: -6.34 eV/atom
* calculated volume: 158.1 Å³/cell



# 23
Li2Th2Sb2N: optimized geometry, PBE.

a = 4.5403 Å, b = 4.5403 Å, c = 15.6544 Å
α = 90.00°, β = 90.00°, γ = 90.00°
Space group I4/mmm (No. 139)
Asymmetric unit:
Li 0.0000 0.5000 0.0000 [4 per cell]
Th 0.0000 0.0000 0.1439 [4 per cell]
Sb 0.0000 0.0000 0.3631 [4 per cell]
N 0.0000 0.0000 0.0000 [2 per cell]

* raw formation energy: -974 meV per atom
* DOS(E_F): 3.30 states/eV/cell
* E: -6.01 eV/atom
* calculated volume: 322.7 Å³/cell



# 24
Li2Ti2Sb2N: optimized geometry, PBE.

a = 4.1196 Å, b = 4.1196 Å, c = 14.4763 Å
α = 90.00°, β = 90.00°, γ = 90.00°
Space group I4/mmm (No. 139)
Asymmetric unit:
Li 0.0000 0.0000 0.1553 [4 per cell]
Ti 0.0000 0.5000 0.0000 [4 per cell]
Sb 0.0000 0.0000 0.3568 [4 per cell]
N 0.0000 0.0000 0.0000 [2 per cell]

* raw formation energy: -837 meV per atom
* DOS(E_F): 7.11 states/eV/cell
* E: -6.01 eV/atom
* calculated volume: 245.7 Å³/cell



# 25
Li3U3SbN8: optimized geometry, PBE.

a = 10.8293 Å, b = 6.9421 Å, c = 6.4176 Å
α = 90.00°, β = 119.58°, γ = 90.00°
Space group C2/m (No. 12)
Asymmetric unit:
Li 0.0000 0.0000 0.0000 [2 per cell]
Li 0.2500 0.2500 0.5000 [4 per cell]
U 0.0000 0.5000 0.5000 [2 per cell]
U 0.2500 0.2500 0.0000 [4 per cell]
Sb 0.0000 0.0000 0.5000 [2 per cell]
N 0.0245 0.2678 0.7442 [8 per cell]
N 0.2392 0.5000 0.7600 [4 per cell]
N 0.2434 0.0000 0.7912 [4 per cell]

* raw formation energy: -743 meV per atom
* E: -8.10 eV/atom
* calculated volume: 419.6 Å³/cell



# 26
LiY2SbN: optimized geometry, PBE.

a = 4.7827 Å, b = 4.7827 Å, c = 4.3293 Å
α = 90.00°, β = 90.00°, γ = 90.00°
Space group P4/mmm (No. 123)
Asymmetric unit:
Li 0.0000 0.0000 0.0000 [1 per cell]
Y 0.0000 0.5000 0.5000 [2 per cell]
Sb 0.5000 0.5000 0.0000 [1 per cell]
N 0.0000 0.0000 0.5000 [1 per cell]

* raw formation energy: -1098 meV per atom
* DOS(E_F): 1.48 states/eV/cell
* E: -6.56 eV/atom
* calculated volume: 99.0 Å³/cell



# 27
Li2ScN2: optimized geometry, PBE.

a = 5.9656 Å, b = 5.9656 Å, c = 2.5007 Å
α = 90.00°, β = 90.00°, γ = 90.00°
Space group P4/mbm (No. 127)
Asymmetric unit:
Li 0.1100 0.3900 0.0000 [4 per cell]
Sc 0.0000 0.0000 0.0000 [2 per cell]
N 0.1911 0.6911 0.5000 [4 per cell]

* raw formation energy: -107 meV per atom
* DOS(E_F): 3.14 states/eV/cell
* E: -5.47 eV/atom
* calculated volume: 89.0 Å³/cell